# Ac3AsN, optimized geometry, DFT PBE
data_Ac3AsN
_chemical_formula_sum 'Ac3 As1 N1'
_cell_length_a 5.233
_cell_length_b 5.233
_cell_length_c 5.233
_cell_angle_alpha 90.00
_cell_angle_beta 90.00
_cell_angle_gamma 90.00
_space_group_name_H-M_alt 'P m -3 m'
_space_group_IT_number 221
_space_group_name_Hall '-P 4 2 3'
loop_
_atom_site_label
_atom_site_type_symbol
_atom_site_fract_x
_atom_site_fract_y
_atom_site_fract_z
Ac1 Ac 0.000 0.000 0.500
As1 As 0.500 0.500 0.500
N1 N 0.000 0.000 0.000
# Density of states at the Fermi level (states/eV/atom): 0.522
# Calculated total energy (eV/cell): -28.9